(1)
Entry from Alexandria: crystalline CdHgS2 at its relaxed geometry (PBE-GGA).

Its density of states at the Fermi level is 0.0 states/eV/cell. For the relative energy among the computed polymorphs, the calculation gives 189 meV/atom. The calculation puts the magnetic moment at 0.00 Bohr magnetons per cell. Its crystal system is orthorhombic. The calculation puts the final energy at -2.562 eV per atom. The raw formation energy is -0.8 eV per formula unit. The calculated density is 6635 kg/m3.

It has space group Pnma (No. 62), with a = 7.158 Å, b = 3.954 Å, c = 13.341 Å, α = 90.00°, β = 90.00° and γ = 90.00°. Symmetry generates all atoms from Cd at (0.099, 0.250, 0.115), Hg at (0.086, 0.750, 0.385), S at (0.060, 0.750, 0.711) and S at (0.220, 0.750, 0.995).

***

(2)
Entry from Alexandria: crystalline TbY2Ho8 at its relaxed geometry (PBE-GGA).

Its density of states at the Fermi level is 29.4 states/eV/cell. For the relative energy among the computed polymorphs, the calculation gives 0 meV/atom. The energy of formation from the pure elements is 0.1578 eV/atom. The calculation puts the magnetic moment at 0.00 Bohr magnetons per cell. Its crystal system is monoclinic. The calculation puts the final energy at -4.768 eV per atom. The calculated density is 7780 kg/m3.

It has space group C2/m (No. 12), with a = 9.068 Å, b = 16.572 Å, c = 5.889 Å, α = 90.00°, β = 126.98° and γ = 90.00°. Symmetry generates all atoms from Tb at (0.000, 0.000, 0.000), Y at (0.000, 0.310, 0.500), Ho at (0.000, 0.203, 0.000), Ho at (0.051, 0.500, 0.785) and Ho at (0.222, 0.124, 0.701).

***

(3)
Entry from Alexandria: crystalline B2PdW at its relaxed geometry (PBE-GGA).

Its density of states at the Fermi level is 8.9 states/eV/cell. For the relative energy among the computed polymorphs, the calculation gives 233 meV/atom. The energy of formation from the pure elements is 0.7613 eV/atom. The calculation puts the magnetic moment at 0.00 Bohr magnetons per cell. Its crystal system is tetragonal. The calculation puts the final energy at -7.114 eV per atom. The calculated density is 9156 kg/m3.

It has space group I-42d (No. 122), with a = 4.856 Å, b = 4.856 Å, c = 9.595 Å, α = 90.00°, β = 90.00° and γ = 90.00°. Symmetry generates all atoms from B at (0.241, 0.250, 0.125), Pd at (0.000, 0.000, 0.000) and W at (0.000, 0.000, 0.500).

***

(4)
Entry from Alexandria: crystalline CsPIO2 at its relaxed geometry (PBE-GGA).

Its density of states at the Fermi level is 6.4 states/eV/cell. For the relative energy among the computed polymorphs, the calculation gives 0 meV/atom. The calculation puts the magnetic moment at 0.00 Bohr magnetons per cell. Its crystal system is tetragonal. The calculation puts the final energy at -3.566 eV per atom. The raw formation energy is -0.1 eV per formula unit. The calculated density is 4979 kg/m3.

It has space group P4/mmm (No. 123), with a = 4.497 Å, b = 4.497 Å, c = 5.323 Å, α = 90.00°, β = 90.00° and γ = 90.00°. Symmetry generates all atoms from Cs at (0.000, 0.000, 0.000), P at (0.500, 0.500, 0.500), I at (0.500, 0.500, 0.000) and O at (0.000, 0.500, 0.500).

***

(5)
Entry from Alexandria: crystalline PrPd5 at its relaxed geometry (PBE-GGA).

Its density of states at the Fermi level is 6.2 states/eV/cell. The energy of formation from the pure elements is -0.4548 eV/atom. The calculation puts the magnetic moment at 0.00 Bohr magnetons per cell. Its crystal system is hexagonal. The calculation puts the final energy at -5.579 eV per atom. The calculated density is 10481 kg/m3.

It has space group P6_322 (No. 182), with a = 5.1055 Å, b = 5.1055 Å, c = 9.4473 Å, α = 90.00°, β = 90.00° and γ = 120.00°. Symmetry generates all atoms from Pr at (0.3333, 0.6667, 0.2500), Pd at (0.0000, 0.0000, 0.2500), Pd at (0.0000, 0.3221, 0.5000) and Pd at (0.3333, 0.6667, 0.7500).

***

(6)
Entry from Alexandria: crystalline Sm5In3 at its relaxed geometry (PBE-GGA).

Its density of states at the Fermi level is 16.6 states/eV/cell. The energy of formation from the pure elements is -0.3400 eV/atom. The calculation puts the magnetic moment at 0.00 Bohr magnetons per cell. Its crystal system is orthorhombic. The calculation puts the final energy at -4.316 eV per atom. The calculated density is 7770 kg/m3.

It has space group Cmmm (No. 65), with a = 9.183 Å, b = 10.096 Å, c = 5.054 Å, α = 90.00°, β = 90.00° and γ = 90.00°. Symmetry generates all atoms from Sm at (0.000, 0.000, 0.000), Sm at (0.230, 0.500, 0.500), Sm at (0.250, 0.250, 0.000), In at (0.000, 0.230, 0.500) and In at (0.000, 0.500, 0.000).

***

(7)
Entry from Alexandria: crystalline K2Ho2PuO6 at its relaxed geometry (PBE-GGA).

Its density of states at the Fermi level is 2.7 states/eV/cell. The calculation puts the magnetic moment at 8.00 Bohr magnetons per cell. Its crystal system is monoclinic. The calculation puts the final energy at -7.882 eV per atom. The raw formation energy is -31.3 eV per formula unit. The calculated density is 6271 kg/m3.

It has space group C2/m (No. 12), with a = 5.995 Å, b = 10.379 Å, c = 6.674 Å, α = 90.00°, β = 107.43° and γ = 90.00°. Symmetry generates all atoms from K at (0.000, 0.169, 0.000), Ho at (0.000, 0.334, 0.500), Pu at (0.000, 0.000, 0.500), O at (0.218, 0.168, 0.673) and O at (0.238, 0.500, 0.672).

***

(8)
Entry from Alexandria: crystalline ErFeB at its relaxed geometry (PBE-GGA).

Its density of states at the Fermi level is 4.7 states/eV/cell. For the relative energy among the computed polymorphs, the calculation gives 0 meV/atom. The energy of formation from the pure elements is -0.3826 eV/atom. The calculation puts the magnetic moment at 2.00 Bohr magnetons per cell. Its crystal system is tetragonal. The calculation puts the final energy at -6.950 eV per atom. The calculated density is 8369 kg/m3.

It has space group P4/nmm (No. 129, origin choice 2), with a = 3.515 Å, b = 3.515 Å, c = 7.515 Å, α = 90.00°, β = 90.00° and γ = 90.00°. Symmetry generates all atoms from Er at (0.250, 0.250, 0.193), Fe at (0.250, 0.750, 0.500) and B at (0.250, 0.250, 0.640).

***

(9)
Entry from Alexandria: crystalline PbI at its relaxed geometry (PBE-GGA).

Its density of states at the Fermi level is 0.9 states/eV/cell. The calculation puts the magnetic moment at 0.00 Bohr magnetons per cell. Its crystal system is orthorhombic. The calculation puts the final energy at -2.845 eV per atom. The raw formation energy is -0.4 eV per formula unit. The calculated density is 6601 kg/m3.

It has space group Pmmn (No. 59, origin choice 2), with a = 4.109 Å, b = 4.419 Å, c = 9.259 Å, α = 90.00°, β = 90.00° and γ = 90.00°. Symmetry generates all atoms from Pb at (0.250, 0.250, 0.092) and I at (0.250, 0.750, 0.326).

***

(10)
Entry from Alexandria: crystalline BeGa2Ge at its relaxed geometry (PBE-GGA).

Its density of states at the Fermi level is 7.7 states/eV/cell. For the relative energy among the computed polymorphs, the calculation gives 117 meV/atom. The energy of formation from the pure elements is 0.4164 eV/atom. The calculation puts the magnetic moment at 0.00 Bohr magnetons per cell. Its crystal system is cubic. The calculation puts the final energy at -3.183 eV per atom. The calculated density is 5516 kg/m3.

It has space group Fm-3m (No. 225), with a = 6.433 Å, b = 6.433 Å, c = 6.433 Å, α = 90.00°, β = 90.00° and γ = 90.00°. Symmetry generates all atoms from Be at (0.000, 0.000, 0.000), Ga at (0.250, 0.250, 0.250) and Ge at (0.000, 0.000, 0.500).

***

(11)
Entry from Alexandria: crystalline Ti2MoPtN at its relaxed geometry (PBE-GGA).

Its density of states at the Fermi level is 5.5 states/eV/cell. The calculation puts the magnetic moment at 0.00 Bohr magnetons per cell. Its crystal system is tetragonal. The calculation puts the final energy at -9.111 eV per atom. The raw formation energy is -4.6 eV per formula unit. The calculated density is 9637 kg/m3.

It has space group P4/mmm (No. 123), with a = 4.128 Å, b = 4.128 Å, c = 4.052 Å, α = 90.00°, β = 90.00° and γ = 90.00°. Symmetry generates all atoms from Ti at (0.000, 0.500, 0.000), Mo at (0.000, 0.000, 0.500), Pt at (0.500, 0.500, 0.500) and N at (0.000, 0.000, 0.000).